# 1
Computed, not measured: a relaxed structure of ZrBe2Te at the PBE level of DFT.

abc: 3.459 3.872 5.261
angles: 90.00 90.00 90.00
Fractional positions:
Zr (0.000, 0.000, 0.000)
Be (0.500, 0.000, 0.599)
Be (0.500, 0.500, 0.784)
Te (0.500, 0.500, 0.277)

# 2
Computed, not measured: a relaxed structure of Cs2TmAg2F6 at the PBE level of DFT.

abc: 6.655 6.655 7.689
angles: 116.77 116.77 60.55
Fractional positions:
Cs (0.213, 0.213, 0.169)
Cs (0.787, 0.787, 0.831)
Tm (0.000, 0.000, 0.500)
Ag (0.441, 0.441, 0.796)
Ag (0.559, 0.559, 0.204)
F (0.164, 0.720, 0.266)
F (0.204, 0.204, 0.552)
F (0.280, 0.836, 0.734)
F (0.720, 0.164, 0.266)
F (0.796, 0.796, 0.448)
F (0.836, 0.280, 0.734)

Record-wise energy values, in eV per cell: -18.85; -51.15